A relaxed structure of RbBaNa10, computed with PBE.

formation energy = 0.03 eV/atom
D(E_F) = 0.673 states/eV/atom
electronic total energy = -1.31 eV/atom
calculated volume = 536.5 Å³/cell

```
data_RbBaNa10
_chemical_formula_sum 'Rb1 Ba1 Na10'
_cell_length_a 5.817
_cell_length_b 7.233
_cell_length_c 12.752
_cell_angle_alpha 90.00
_cell_angle_beta 90.00
_cell_angle_gamma 90.00
_symmetry_space_group_name_H-M 'P m m m'
_symmetry_Int_Tables_number 47
_symmetry_space_group_name_Hall '-P 2 2'
loop_
_atom_site_label
_atom_site_type_symbol
_atom_site_fract_x
_atom_site_fract_y
_atom_site_fract_z
Rb1 Rb 0.000 0.000 0.000
Ba1 Ba 0.000 0.500 0.500
Na1 Na 0.000 0.000 0.336
Na2 Na 0.000 0.500 0.171
Na3 Na 0.500 0.000 0.500
Na4 Na 0.500 0.261 0.264
Na5 Na 0.500 0.500 0.000
```

A relaxed structure of PmCo9B4, computed with PBE.

formation energy = -0.18 eV/atom
D(E_F) = 0.904 states/eV/atom
electronic total energy = -6.99 eV/atom
calculated volume = 580.6 Å³/cell

```
data_PmCo9B4
_chemical_formula_sum 'Pm4 Co36 B16'
_cell_length_a 7.326
_cell_length_b 7.326
_cell_length_c 10.818
_cell_angle_alpha 90.00
_cell_angle_beta 90.00
_cell_angle_gamma 90.00
_symmetry_space_group_name_H-M 'I 4/m'
_symmetry_Int_Tables_number 87
_symmetry_space_group_name_Hall '-I 4'
loop_
_atom_site_label
_atom_site_type_symbol
_atom_site_fract_x
_atom_site_fract_y
_atom_site_fract_z
Pm1 Pm 0.000 0.000 0.246
Co1 Co 0.000 0.500 0.000
Co2 Co 0.093 0.193 0.500
Co3 Co 0.097 0.196 0.000
Co4 Co 0.129 0.650 0.178
B1 B 0.133 0.673 0.365
```

A relaxed structure of Na3ZrN, computed with PBE.

D(E_F) = 3.421 states/eV/atom
offset from the most stable computed form = 121.43 kJ per mole of atoms
electronic total energy = -1.86 eV/atom
calculated volume = 225.9 Å³/cell
raw formation energy = 2.3015 eV/atom

```
data_Na3ZrN
_chemical_formula_sum 'Na3 Zr1 N1'
_cell_length_a 6.090
_cell_length_b 6.090
_cell_length_c 6.090
_cell_angle_alpha 90.00
_cell_angle_beta 90.00
_cell_angle_gamma 90.00
_symmetry_space_group_name_H-M 'P m -3 m'
_symmetry_Int_Tables_number 221
_symmetry_space_group_name_Hall '-P 4 2 3'
loop_
_atom_site_label
_atom_site_type_symbol
_atom_site_fract_x
_atom_site_fract_y
_atom_site_fract_z
Na1 Na 0.000 0.000 0.500
Zr1 Zr 0.000 0.000 0.000
N1 N 0.500 0.500 0.500
```

A relaxed structure of Na2MgAg2, computed with PBE.

formation energy = 0.10 eV/atom
D(E_F) = 0.378 states/eV/atom
offset from the most stable computed form = 9.82 kJ per mole of atoms
electronic total energy = -1.88 eV/atom
calculated volume = 228.8 Å³/cell

```
data_Na2MgAg2
_chemical_formula_sum 'Na4 Mg2 Ag4'
_cell_length_a 8.683
_cell_length_b 8.683
_cell_length_c 3.034
_cell_angle_alpha 90.00
_cell_angle_beta 90.00
_cell_angle_gamma 90.00
_symmetry_space_group_name_H-M 'P 4/m b m'
_symmetry_Int_Tables_number 127
_symmetry_space_group_name_Hall '-P 4 2ab'
loop_
_atom_site_label
_atom_site_type_symbol
_atom_site_fract_x
_atom_site_fract_y
_atom_site_fract_z
Na1 Na 0.126 0.374 0.000
Mg1 Mg 0.000 0.000 0.000
Ag1 Ag 0.174 0.674 0.500
```

A relaxed structure of Nd2HoPuSb4, computed with PBE.

D(E_F) = 2.096 states/eV/atom
electronic total energy = -6.63 eV/atom
calculated volume = 251.1 Å³/cell
raw formation energy = -1.0115 eV/atom

```
data_Nd2HoPuSb4
_chemical_formula_sum 'Nd2 Ho1 Pu1 Sb4'
_cell_length_a 7.719
_cell_length_b 4.470
_cell_length_c 7.720
_cell_angle_alpha 90.00
_cell_angle_beta 109.47
_cell_angle_gamma 90.00
_symmetry_space_group_name_H-M 'P 1 2/m 1'
_symmetry_Int_Tables_number 10
_symmetry_space_group_name_Hall '-P 2y'
loop_
_atom_site_label
_atom_site_type_symbol
_atom_site_fract_x
_atom_site_fract_y
_atom_site_fract_z
Nd1 Nd 0.000 0.000 0.000
Nd2 Nd 0.500 0.500 0.000
Ho1 Ho 0.000 0.500 0.500
Pu1 Pu 0.500 0.000 0.500
Sb1 Sb 0.246 0.000 0.740
Sb2 Sb 0.252 0.500 0.259
```

A relaxed structure of ErHfS4, computed with PBE.

D(E_F) = 0.891 states/eV/atom
electronic total energy = -6.58 eV/atom
calculated volume = 296.6 Å³/cell
raw formation energy = -1.4132 eV/atom

```
data_ErHfS4
_chemical_formula_sum 'Er2 Hf2 S8'
_cell_length_a 8.733
_cell_length_b 8.835
_cell_length_c 3.844
_cell_angle_alpha 90.00
_cell_angle_beta 90.00
_cell_angle_gamma 90.00
_symmetry_space_group_name_H-M 'C m m m'
_symmetry_Int_Tables_number 65
_symmetry_space_group_name_Hall '-C 2 2'
loop_
_atom_site_label
_atom_site_type_symbol
_atom_site_fract_x
_atom_site_fract_y
_atom_site_fract_z
Er1 Er 0.000 0.000 0.000
Hf1 Hf 0.000 0.500 0.500
S1 S 0.000 0.309 0.000
S2 S 0.212 0.000 0.500
```

A relaxed structure of Ba4PSe2I, computed with PBE.

electronic total energy = -4.38 eV/atom
calculated volume = 312.1 Å³/cell
raw formation energy = -1.6735 eV/atom

```
data_Ba4PSe2I
_chemical_formula_sum 'Ba4 P1 Se2 I1'
_cell_length_a 8.231
_cell_length_b 4.779
_cell_length_c 8.378
_cell_angle_alpha 90.00
_cell_angle_beta 108.73
_cell_angle_gamma 90.00
_symmetry_space_group_name_H-M 'P 1 2/m 1'
_symmetry_Int_Tables_number 10
_symmetry_space_group_name_Hall '-P 2y'
loop_
_atom_site_label
_atom_site_type_symbol
_atom_site_fract_x
_atom_site_fract_y
_atom_site_fract_z
Ba1 Ba 0.238 0.000 0.219
Ba2 Ba 0.251 0.500 0.768
P1 P 0.500 0.000 0.000
Se1 Se 0.000 0.000 0.500
Se2 Se 0.000 0.500 0.000
I1 I 0.500 0.500 0.500
```

A relaxed structure of Tl3SnI6, computed with PBE.

D(E_F) = 0.515 states/eV/atom
offset from the most stable computed form = 0.00 kJ per mole of atoms
electronic total energy = -2.57 eV/atom
calculated volume = 878.1 Å³/cell
raw formation energy = -0.5269 eV/atom

```
data_Tl3SnI6
_chemical_formula_sum 'Tl6 Sn2 I12'
_cell_length_a 8.144
_cell_length_b 9.028
_cell_length_c 14.066
_cell_angle_alpha 90.00
_cell_angle_beta 121.89
_cell_angle_gamma 90.00
_symmetry_space_group_name_H-M 'P 1 21/c 1'
_symmetry_Int_Tables_number 14
_symmetry_space_group_name_Hall '-P 2ybc'
loop_
_atom_site_label
_atom_site_type_symbol
_atom_site_fract_x
_atom_site_fract_y
_atom_site_fract_z
Tl1 Tl 0.000 0.000 0.000
Tl2 Tl 0.196 0.096 0.739
Sn1 Sn 0.500 0.000 0.500
I1 I 0.141 0.173 0.449
I2 I 0.267 0.710 0.427
I3 I 0.405 0.053 0.262
```

A relaxed structure of K3Tl2AgI6, computed with PBE.

D(E_F) = 0.000 states/eV/atom
electronic total energy = -2.65 eV/atom
calculated volume = 1040.3 Å³/cell
raw formation energy = -0.9652 eV/atom

```
data_K3Tl2AgI6
_chemical_formula_sum 'K6 Tl4 Ag2 I12'
_cell_length_a 8.627
_cell_length_b 15.065
_cell_length_c 8.478
_cell_angle_alpha 90.00
_cell_angle_beta 109.23
_cell_angle_gamma 90.00
_symmetry_space_group_name_H-M 'C 1 2/m 1'
_symmetry_Int_Tables_number 12
_symmetry_space_group_name_Hall '-C 2y'
loop_
_atom_site_label
_atom_site_type_symbol
_atom_site_fract_x
_atom_site_fract_y
_atom_site_fract_z
K1 K 0.000 0.000 0.000
K2 K 0.000 0.332 0.000
Tl1 Tl 0.000 0.172 0.500
Ag1 Ag 0.000 0.500 0.500
I1 I 0.206 0.500 0.296
I2 I 0.248 0.339 0.750
```

A relaxed structure of MgCd2Tc, computed with PBE.

formation energy = 0.31 eV/atom
D(E_F) = 0.902 states/eV/atom
electronic total energy = -3.14 eV/atom
calculated volume = 227.3 Å³/cell

```
data_MgCd2Tc
_chemical_formula_sum 'Mg3 Cd6 Tc3'
_cell_length_a 2.9906
_cell_length_b 2.9906
_cell_length_c 29.3493
_cell_angle_alpha 90.00
_cell_angle_beta 90.00
_cell_angle_gamma 120.00
_symmetry_space_group_name_H-M 'R -3 m'
_symmetry_Int_Tables_number 166
_symmetry_space_group_name_Hall '-R 3 2"'
loop_
_atom_site_label
_atom_site_type_symbol
_atom_site_fract_x
_atom_site_fract_y
_atom_site_fract_z
Mg1 Mg 0.0000 0.0000 0.0000
Cd1 Cd 0.0000 0.0000 0.2462
Tc1 Tc 0.0000 0.0000 0.5000
```

A relaxed structure of VSnAs2, computed with PBE.

formation energy = 0.54 eV/atom
D(E_F) = 0.977 states/eV/atom
electronic total energy = -5.06 eV/atom
calculated volume = 253.0 Å³/cell

```
data_VSnAs2
_chemical_formula_sum 'V3 Sn3 As6'
_cell_length_a 3.0350
_cell_length_b 3.0350
_cell_length_c 31.7165
_cell_angle_alpha 90.00
_cell_angle_beta 90.00
_cell_angle_gamma 120.00
_symmetry_space_group_name_H-M 'R -3 m'
_symmetry_Int_Tables_number 166
_symmetry_space_group_name_Hall '-R 3 2"'
loop_
_atom_site_label
_atom_site_type_symbol
_atom_site_fract_x
_atom_site_fract_y
_atom_site_fract_z
V1 V 0.0000 0.0000 0.0000
Sn1 Sn 0.0000 0.0000 0.5000
As1 As 0.0000 0.0000 0.0783
```

A relaxed structure of Rb3Pb2Cl7, computed with PBE.

D(E_F) = 0.000 states/eV/atom
electronic total energy = -3.48 eV/atom
calculated volume = 910.6 Å³/cell
raw formation energy = -1.5438 eV/atom

```
data_Rb3Pb2Cl7
_chemical_formula_sum 'Rb6 Pb4 Cl14'
_cell_length_a 5.707
_cell_length_b 5.707
_cell_length_c 27.958
_cell_angle_alpha 90.00
_cell_angle_beta 90.00
_cell_angle_gamma 90.00
_symmetry_space_group_name_H-M 'I 4/m m m'
_symmetry_Int_Tables_number 139
_symmetry_space_group_name_Hall '-I 4 2'
loop_
_atom_site_label
_atom_site_type_symbol
_atom_site_fract_x
_atom_site_fract_y
_atom_site_fract_z
Rb1 Rb 0.000 0.000 0.000
Rb2 Rb 0.000 0.000 0.181
Pb1 Pb 0.000 0.000 0.396
Cl1 Cl 0.000 0.000 0.296
Cl2 Cl 0.000 0.000 0.500
Cl3 Cl 0.000 0.500 0.101
```